EuThNi4 | PBE | relaxed

Values from the calculation:
The value obtained for the formation energy is -314.9 meV per atom. The calculation puts the density of states at the Fermi level at 1.11 states/eV/atom. Its space-group type is F-43m (216).

Lattice parameters (Å, degrees): 5.1542 5.1542 5.1542 60.00 60.00 60.00
Last column: nearest neighbours and their distance in Å.
Atoms (fractional coordinates):
Eu: 0.0000 0.0000 0.0000  12 Ni 3.02, 4 Th 3.16
Th: 0.7500 0.7500 0.7500  12 Ni 3.02, 4 Eu 3.16
Ni: 0.3751 0.3751 0.3751  6 Ni 2.57-2.58
Ni: 0.3751 0.3751 0.8747  6 Ni 2.57-2.58
Ni: 0.3751 0.8747 0.3751  6 Ni 2.57-2.58
Ni: 0.8747 0.3751 0.3751  6 Ni 2.57-2.58


InIr2Br | PBE | relaxed

Values from the calculation:
The calculation puts the density of states at the Fermi level at 1.49 states/eV/atom. The calculation puts the uncorrected formation energy at 0.83 eV/atom. Its space-group type is I-4m2 (119).

Lattice parameters (Å, degrees): 5.3550 5.3550 5.3550 136.77 136.77 62.79
Last column: nearest neighbours and their distance in Å.
Atoms (fractional coordinates):
In: 0.0000 0.0000 0.0000  8 Ir 2.79-3.02, 4 Br 3.02
Ir: 0.2500 0.7500 0.5000  4 Br 2.79, 4 Ir 3.02, 4 In 3.02
Ir: 0.5000 0.5000 0.0000  4 In 2.79, 4 Br 3.02, 4 Ir 3.02
Br: 0.7500 0.2500 0.5000  8 Ir 2.79-3.02, 4 In 3.02


ThNpP2Ir2 | PBE | relaxed

Values from the calculation:
The value obtained for the formation energy is -992.2 meV per atom. The calculation puts the density of states at the Fermi level at 1.40 states/eV/atom. Its space-group type is P-3m1 (164).

Lattice parameters (Å, degrees): 4.1241 4.1241 7.8130 90.00 90.00 120.00
Last column: nearest neighbours and their distance in Å.
Atoms (fractional coordinates):
Th: 0.0000 0.0000 0.0000  6 P 3.03, 6 Ir 3.22
Np: 0.0000 0.0000 0.5000  6 Ir 2.95, 6 P 3.13
P: 0.3333 0.6667 0.2403  3 Ir 2.40
P: 0.6667 0.3333 0.7597  3 Ir 2.40
Ir: 0.3333 0.6667 0.7219  3 P 2.40
Ir: 0.6667 0.3333 0.2781  3 P 2.40


ScIr2Ru | PBE | relaxed

Values from the calculation:
The value obtained for the formation energy is -102.4 meV per atom. The calculation puts the density of states at the Fermi level at 1.06 states/eV/atom. Its space-group type is Fm-3m (225).

Lattice parameters (Å, degrees): 4.4822 4.4822 4.4822 60.00 60.00 60.00
Last column: nearest neighbours and their distance in Å.
Atoms (fractional coordinates):
Sc: 0.0000 0.0000 0.0000  8 Ir 2.74
Ir: 0.2500 0.2500 0.2500  4 Ru 2.74, 4 Sc 2.74
Ir: 0.7500 0.7500 0.7500  4 Sc 2.74, 4 Ru 2.74
Ru: 0.5000 0.5000 0.5000  8 Ir 2.74


TaRe5 | PBE | relaxed

Values from the calculation:
The value obtained for the formation energy is 51.6 meV per atom. The calculation puts the density of states at the Fermi level at 1.02 states/eV/atom. Its space-group type is P4/mmm (123).

Lattice parameters (Å, degrees): 2.7896 2.7896 12.0836 90.00 90.00 90.00
Last column: nearest neighbours and their distance in Å.
Atoms (fractional coordinates):
Ta: 0.0000 0.0000 0.0000  4 Ta 2.79, 8 Re 2.95
Re: 0.0000 0.0000 0.3373  12 Re 2.73-2.79
Re: 0.0000 0.0000 0.6627  12 Re 2.73-2.79
Re: 0.5000 0.5000 0.1813  8 Re 2.73-2.79, 4 Ta 2.95
Re: 0.5000 0.5000 0.5000  12 Re 2.79
Re: 0.5000 0.5000 0.8187  8 Re 2.73-2.79, 4 Ta 2.95


Zr3HgAu2 | PBE | relaxed

Values from the calculation:
The value obtained for the formation energy is -30.2 meV per atom. The calculation puts the density of states at the Fermi level at 0.72 states/eV/atom. Its space-group type is Immm (71).

Lattice parameters (Å, degrees): 8.7642 8.7642 8.7642 160.08 144.13 41.36
Last column: nearest neighbours and their distance in Å.
Atoms (fractional coordinates):
Zr: 0.0000 0.0000 0.0000  2 Hg 2.70, 4 Au 2.89
Zr: 0.3203 0.8203 0.5000  1 Au 2.79, 1 Hg 2.95, 2 Zr 3.03
Zr: 0.6797 0.1797 0.5000  1 Au 2.79, 1 Hg 2.95, 2 Zr 3.03
Hg: 0.5000 0.0000 0.5000  4 Zr 2.70-2.95
Au: 0.1500 0.6500 0.5000  3 Zr 2.79-2.89, 2 Au 3.03
Au: 0.8500 0.3500 0.5000  3 Zr 2.79-2.89, 2 Au 3.03


MgPd4Pt2 | PBE | relaxed

Values from the calculation:
The value obtained for the formation energy is -313.0 meV per atom. The calculation puts the density of states at the Fermi level at 1.35 states/eV/atom. Its space-group type is P-1 (2).

Lattice parameters (Å, degrees): 3.9395 4.8200 6.3330 97.97 90.12 114.06
Last column: nearest neighbours and their distance in Å.
Atoms (fractional coordinates):
Mg: 0.0000 0.0000 0.0000  10 Pd 2.77-2.82, 2 Pt 2.81
Pd: 0.2866 0.5742 0.8588  3 Mg 2.77-2.81, 6 Pd 2.79-2.81, 3 Pt 2.80-2.83
Pd: 0.4287 0.8575 0.2869  5 Pt 2.78-2.81, 5 Pd 2.79-2.81, 2 Mg 2.81-2.82
Pd: 0.5713 0.1425 0.7131  5 Pt 2.78-2.81, 5 Pd 2.79-2.81, 2 Mg 2.81-2.82
Pd: 0.7134 0.4258 0.1412  3 Mg 2.77-2.81, 6 Pd 2.79-2.81, 3 Pt 2.80-2.83
Pt: 0.1430 0.2859 0.4277  8 Pd 2.78-2.83, 3 Pt 2.78-2.81, 1 Mg 2.81
Pt: 0.8570 0.7141 0.5723  8 Pd 2.78-2.83, 3 Pt 2.78-2.81, 1 Mg 2.81


TbPmBeGe | PBE | relaxed

Values from the calculation:
The value obtained for the formation energy is -272.7 meV per atom. The calculation puts the density of states at the Fermi level at 0.31 states/eV/atom. Its space-group type is F-43m (216).

Lattice parameters (Å, degrees): 4.9957 4.9957 4.9957 60.00 60.00 60.00
Last column: nearest neighbours and their distance in Å.
Atoms (fractional coordinates):
Tb: 0.0000 0.0000 0.0000  4 Ge 3.06, 4 Be 3.06
Pm: 0.5000 0.5000 0.5000  4 Be 3.06, 4 Ge 3.06
Be: 0.7500 0.7500 0.7500  4 Pm 3.06, 4 Tb 3.06
Ge: 0.2500 0.2500 0.2500  4 Pm 3.06, 4 Tb 3.06